one | Density functional theory data (GGA-PBE) for crystalline HfSbRhI2 at its relaxed geometry.

```
HfSbRhI2
1.0
-3.349 3.657 1.634
-3.992 -3.219 -0.977
0.326 -1.894 4.910
I Sb Hf Rh
2 1 1 1
direct
0.000 0.500 0.000
0.500 0.000 0.000
0.000 0.000 0.500
0.500 0.500 0.500
0.000 0.000 0.000
```

Output
The calculation puts the volume at 28.74 A^3/atom.

two | Density functional theory data (GGA-PBE) for crystalline HfSbRhI2 at its relaxed geometry.

```
HfSbRhI2
1.0
5.552 0.000 0.000
0.000 5.552 0.000
0.000 0.000 5.713
I Sb Hf Rh
2 1 1 1
direct
0.000 0.500 0.000
0.500 0.000 0.000
0.000 0.000 0.500
0.000 0.000 0.000
0.500 0.500 0.500
```

Output
The calculation puts the volume at 35.21 A^3/atom.

Which one sits at the bottom of the stability order? two does.

one | Density functional theory data (GGA-PBE) for crystalline HfTe2RhI at its relaxed geometry.

```
HfTe2RhI
1.0
5.216 0.000 0.000
0.000 5.216 0.000
0.000 0.000 5.150
I Rh Te Hf
1 1 2 1
direct
0.000 0.000 0.500
0.000 0.000 0.000
0.000 0.500 0.000
0.500 0.000 0.000
0.500 0.500 0.500
```

Output
The calculation puts the volume at 28.02 A^3/atom.

two | Density functional theory data (GGA-PBE) for crystalline HfTe2RhI at its relaxed geometry.

```
HfTe2RhI
1.0
-1.683 0.598 5.264
0.554 -5.473 0.799
5.313 0.773 1.611
I Rh Te Hf
1 1 2 1
direct
0.000 0.000 0.500
0.500 0.500 0.500
0.000 0.500 0.000
0.500 0.000 0.000
0.000 0.000 0.000
```

Output
The calculation puts the volume at 34.64 A^3/atom.

Which one sits at the bottom of the stability order? two does.

one | Density functional theory data (GGA-PBE) for crystalline HfRu3I at its relaxed geometry.

```
HfRu3I
1.0
4.896 0.000 0.000
0.000 4.896 0.000
0.000 0.000 4.896
I Ru Hf
1 3 1
direct
0.500 0.500 0.500
0.000 0.500 0.000
0.000 0.000 0.500
0.500 0.000 0.000
0.000 0.000 0.000
```

Output
The calculation puts the volume at 23.48 A^3/atom.

two | Density functional theory data (GGA-PBE) for crystalline HfRu3I at its relaxed geometry.

```
HfRu3I
1.0
4.730 0.000 0.000
0.000 4.730 0.000
0.000 0.000 4.730
I Ru Hf
1 3 1
direct
0.000 0.000 0.000
0.000 0.500 0.000
0.000 0.000 0.500
0.500 0.000 0.000
0.500 0.500 0.500
```

Output
The calculation puts the volume at 21.17 A^3/atom.

Which one sits at the bottom of the stability order? one does.

one | Density functional theory data (GGA-PBE) for crystalline HfRuI2 at its relaxed geometry.

```
HfRuI2
1.0
-3.815 -0.550 5.039
-0.652 -6.201 -1.171
2.389 -4.500 5.312
I Ru Hf
4 2 2
direct
0.597 0.125 0.250
0.153 0.625 0.250
0.375 0.403 0.750
0.875 0.847 0.750
0.500 0.500 0.000
0.250 0.750 0.500
0.000 0.000 0.000
0.750 0.250 0.500
```

Output
The calculation puts the volume at 29.36 A^3/atom.

two | Density functional theory data (GGA-PBE) for crystalline HfRuI2 at its relaxed geometry.

```
HfRuI2
1.0
0.000 3.481 3.481
3.481 0.000 3.481
3.481 3.481 0.000
I Ru Hf
2 1 1
direct
0.250 0.250 0.250
0.750 0.750 0.750
0.000 0.000 0.000
0.500 0.500 0.500
```

Output
The calculation puts the volume at 21.09 A^3/atom.

Which one sits at the bottom of the stability order? one does.